Here is a relaxed Pm3Mg2Ir2 crystal from Alexandria via LeMat-Bulk. Energies are from GGA-PBE.

The value obtained for the calculated density is 8.132 Mg/m³. The crystal system is monoclinic. The calculation puts the density of states at the Fermi level at 0.57 states/eV/atom. For the total energy, the calculation gives -38.090 eV for the cell shown. As for the volume: 177.3 Å³ per cell. As for the magnetization: 0.0 Bohr magnetons per cell.

Cell: 3.7868 6.5533 8.0216 Å, 110.58 90.00 106.79°
Fractional coordinates of all 7 atoms:
Pm  0.5000  0.0000  0.0000
Pm  0.6239  0.2477  0.4536
Pm  0.3761  0.7523  0.5464
Mg  0.8183  0.6366  0.1547
Mg  0.1817  0.3634  0.8453
Ir  0.8213  0.6427  0.7794
Ir  0.1787  0.3573  0.2206

Here is a relaxed NaS2NCl crystal from Alexandria via LeMat-Bulk. Energies are from GGA-PBE.

The value obtained for the calculated density is 1.407 Mg/m³. The value obtained for the energy relative to the lowest polymorph listed for this composition is 121.3 kJ per mole of atoms. The crystal system is tetragonal. The calculation puts the density of states at the Fermi level at 0.55 states/eV/atom. For the total energy, the calculation gives -12.176 eV for the cell shown. As for the volume: 161.1 Å³ per cell. As for the magnetization: 7.0 Bohr magnetons per cell.

Cell: 5.5350 5.5350 5.2600 Å, 90.00 90.00 90.00°
Last column: magnetic moment on the atom in μB.
Fractional coordinates of all 5 atoms:
Na  0.0000  0.0000  0.0000  0.00
S  0.0000  0.5000  0.0000  1.10
S  0.5000  0.0000  0.0000  1.10
N  0.5000  0.5000  0.5000  1.93
Cl  0.0000  0.0000  0.5000  0.30

Here is a relaxed Pr2P3Pd5 crystal from Alexandria via LeMat-Bulk. Energies are from GGA-PBE.

The value obtained for the calculated density is 8.045 Mg/m³. The crystal system is orthorhombic. The calculation puts the density of states at the Fermi level at 0.49 states/eV/atom. For the total energy, the calculation gives -121.094 eV for the cell shown. As for the volume: 374.3 Å³ per cell. As for the magnetization: 0.0 Bohr magnetons per cell.

Cell: 4.1937 7.5979 11.9337 Å, 90.00 100.12 90.00°
Fractional coordinates of all 20 atoms:
Pr  0.4631  0.7724  0.9261
Pr  0.1838  0.7157  0.3676
Pr  0.8162  0.2157  0.6324
Pr  0.5369  0.2724  0.0739
P  0.7833  0.8051  0.5666
P  0.6035  0.5892  0.2069
P  0.0428  0.9711  0.0855
P  0.2167  0.3051  0.4334
P  0.9572  0.4711  0.9145
P  0.3965  0.0892  0.7931
Pd  0.4080  0.4027  0.8160
Pd  0.2912  0.5079  0.5823
Pd  0.7088  0.0079  0.4177
Pd  0.1347  0.1248  0.2693
Pd  0.3265  0.8592  0.6531
Pd  0.9515  0.1168  0.9029
Pd  0.6735  0.3592  0.3469
Pd  0.8653  0.6248  0.7307
Pd  0.0485  0.6168  0.0971
Pd  0.5920  0.9027  0.1840

Here is a relaxed Ac2SiPt6Au crystal from Alexandria via LeMat-Bulk. Energies are from GGA-PBE.

The value obtained for the calculated density is 14.196 Mg/m³. The crystal system is monoclinic. The calculation puts the density of states at the Fermi level at 0.26 states/eV/atom. For the total energy, the calculation gives -61.955 eV for the cell shown. As for the volume: 216.3 Å³ per cell. As for the magnetization: 0.0 Bohr magnetons per cell.

Cell: 5.5491 8.6164 7.0826 Å, 48.54 66.93 89.99°
Fractional coordinates of all 10 atoms:
Ac  0.7338  0.2702  0.5321
Ac  0.2662  0.7298  0.4679
Si  0.5000  0.5000  0.0000
Pt  0.2524  0.1072  0.4949
Pt  0.7599  0.7310  0.9896
Pt  0.2503  0.7309  0.9894
Pt  0.7497  0.2691  0.0106
Pt  0.2401  0.2690  0.0104
Pt  0.7476  0.8928  0.5051
Au  0.0000  0.0000  0.0000

Here is a relaxed Be2CoAg crystal from Alexandria via LeMat-Bulk. Energies are from GGA-PBE.

The value obtained for the calculated density is 7.161 Mg/m³. The value obtained for the energy relative to the lowest polymorph listed for this composition is 0.0 kJ per mole of atoms. The crystal system is tetragonal. The calculation puts the density of states at the Fermi level at 0.27 states/eV/atom. For the total energy, the calculation gives -17.898 eV for the cell shown. As for the volume: 42.9 Å³ per cell. As for the magnetization: 0.0 Bohr magnetons per cell.

Cell: 2.7387 2.7387 5.7143 Å, 90.00 90.00 90.00°
Fractional coordinates of all 4 atoms:
Be  0.0000  0.0000  0.0561
Be  0.0000  0.0000  0.4439
Co  0.5000  0.5000  0.2500
Ag  0.5000  0.5000  0.7500

Here is a relaxed SrInSnPb crystal from Alexandria via LeMat-Bulk. Energies are from GGA-PBE.

The value obtained for the calculated density is 6.992 Mg/m³. The value obtained for the energy relative to the lowest polymorph listed for this composition is 9.1 kJ per mole of atoms. The crystal system is cubic. The calculation puts the density of states at the Fermi level at 0.71 states/eV/atom. For the total energy, the calculation gives -13.135 eV for the cell shown. As for the volume: 125.5 Å³ per cell. As for the magnetization: 0.0 Bohr magnetons per cell.

Cell: 5.6194 5.6194 5.6194 Å, 60.00 60.00 60.00°
Fractional coordinates of all 4 atoms:
Pb  0.0000  0.0000  0.0000
Sr  0.5000  0.5000  0.5000
Sn  0.2500  0.2500  0.2500
In  0.7500  0.7500  0.7500

Here is a relaxed BeSbOs2 crystal from Alexandria via LeMat-Bulk. Energies are from GGA-PBE.

The value obtained for the calculated density is 14.247 Mg/m³. The value obtained for the energy relative to the lowest polymorph listed for this composition is 1.8 kJ per mole of atoms. The crystal system is tetragonal. The calculation puts the density of states at the Fermi level at 0.99 states/eV/atom. For the total energy, the calculation gives -28.981 eV for the cell shown. As for the volume: 59.6 Å³ per cell. As for the magnetization: 0.0 Bohr magnetons per cell.

Cell: 3.1236 3.1236 6.1068 Å, 90.00 90.00 90.00°
Fractional coordinates of all 4 atoms:
Sb  0.0000  0.0000  0.4971
Os  0.0000  0.0000  0.9308
Os  0.5000  0.5000  0.2439
Be  0.5000  0.5000  0.8282

Here is a relaxed Na2MgGe2 crystal from Alexandria via LeMat-Bulk. Energies are from GGA-PBE.

The value obtained for the calculated density is 3.183 Mg/m³. The value obtained for the energy relative to the lowest polymorph listed for this composition is 21.1 kJ per mole of atoms. The crystal system is tetragonal. The calculation puts the density of states at the Fermi level at 0.38 states/eV/atom. For the total energy, the calculation gives -25.510 eV for the cell shown. As for the volume: 224.9 Å³ per cell. As for the magnetization: 0.0 Bohr magnetons per cell.

Cell: 8.6267 8.6267 3.0222 Å, 90.00 90.00 90.00°
Fractional coordinates of all 10 atoms:
Na  0.3835  0.8835  0.0000
Na  0.8835  0.6165  0.0000
Na  0.6165  0.1165  0.0000
Na  0.1165  0.3835  0.0000
Ge  0.1837  0.6837  0.5000
Ge  0.6837  0.8163  0.5000
Ge  0.8163  0.3163  0.5000
Ge  0.3163  0.1837  0.5000
Mg  0.0000  0.0000  0.0000
Mg  0.5000  0.5000  0.0000

Here is a relaxed Y2Mo crystal from Alexandria via LeMat-Bulk. Energies are from GGA-PBE.

The value obtained for the calculated density is 6.176 Mg/m³. The value obtained for the energy relative to the lowest polymorph listed for this composition is 20.8 kJ per mole of atoms. The crystal system is hexagonal. The calculation puts the density of states at the Fermi level at 0.80 states/eV/atom. For the total energy, the calculation gives -45.344 eV for the cell shown. As for the volume: 147.2 Å³ per cell. As for the magnetization: 0.0 Bohr magnetons per cell.

Cell: 5.0873 5.0873 6.5684 Å, 90.00 90.00 120.00°
Fractional coordinates of all 6 atoms:
Y  0.0000  0.0000  0.0000
Y  0.0000  0.0000  0.5000
Y  0.3333  0.6667  0.7500
Y  0.6667  0.3333  0.2500
Mo  0.3333  0.6667  0.2500
Mo  0.6667  0.3333  0.7500

Here is a relaxed Tb12H3Au5 crystal from Alexandria via LeMat-Bulk. Energies are from GGA-PBE.

The value obtained for the calculated density is 8.305 Mg/m³. The crystal system is cubic. The calculation puts the density of states at the Fermi level at 0.88 states/eV/atom. For the total energy, the calculation gives -319.011 eV for the cell shown. As for the volume: 2315.4 Å³ per cell. As for the magnetization: 18.8 Bohr magnetons per cell.

Cell: 14.4350 14.4350 14.4350 Å, 109.47 109.47 109.47°
Last column: magnetic moment on the atom in μB.
Fractional coordinates of all 80 atoms:
H  0.7500  0.3750  0.1250  -0.01
H  0.8750  0.7500  0.1250  -0.01
H  0.3750  0.7500  0.6250  -0.01
H  0.2500  0.1250  0.3750  -0.01
H  0.8750  0.1250  0.2500  -0.01
H  0.3750  0.6250  0.2500  -0.01
H  0.6250  0.3750  0.7500  -0.01
H  0.1250  0.8750  0.7500  -0.01
H  0.7500  0.8750  0.6250  -0.01
H  0.6250  0.2500  0.3750  -0.01
H  0.1250  0.2500  0.8750  -0.01
H  0.2500  0.6250  0.8750  -0.01
Au  0.1250  0.3750  0.2500  0.02
Au  0.0000  0.5000  0.0000  0.02
Au  0.0000  0.0000  0.0000  0.02
Au  0.3750  0.2500  0.1250  0.02
Au  0.5000  0.0000  0.5000  0.02
Au  0.5000  0.5000  0.0000  0.02
Au  0.1250  0.7500  0.3750  0.02
Au  0.7500  0.1250  0.8750  0.02
Au  0.7500  0.6250  0.3750  0.02
Au  0.3750  0.1250  0.7500  0.02
Au  0.6250  0.8750  0.2500  0.02
Au  0.5000  0.5000  0.5000  0.02
Au  0.5000  0.0000  0.0000  0.02
Au  0.0000  0.0000  0.5000  0.02
Au  0.2500  0.3750  0.6250  0.02
Au  0.2500  0.8750  0.1250  0.02
Au  0.0000  0.5000  0.5000  0.02
Au  0.8750  0.2500  0.6250  0.02
Au  0.6250  0.7500  0.8750  0.02
Au  0.8750  0.6250  0.7500  0.02
Tb  0.7316  0.1181  0.0629  0.28
Tb  0.3312  0.5629  0.4447  0.28
Tb  0.9371  0.3819  0.2684  0.28
Tb  0.5629  0.2316  0.1181  0.28
Tb  0.6135  0.7316  0.6688  0.28
Tb  0.9371  0.5553  0.1688  0.28
Tb  0.3312  0.7684  0.3865  0.28
Tb  0.0553  0.8865  0.1181  0.28
Tb  0.5553  0.9371  0.6688  0.28
Tb  0.7316  0.6135  0.1688  0.28
Tb  0.7684  0.4371  0.3819  0.28
Tb  0.8312  0.9447  0.0629  0.28
Tb  0.1181  0.7316  0.5629  0.28
Tb  0.3819  0.4447  0.1135  0.28
Tb  0.1135  0.9447  0.3819  0.28
Tb  0.3865  0.1181  0.5553  0.28
Tb  0.1135  0.1688  0.2316  0.28
Tb  0.4371  0.6688  0.0553  0.28
Tb  0.8312  0.8865  0.2684  0.28
Tb  0.1181  0.3865  0.0553  0.28
Tb  0.3819  0.9371  0.7684  0.28
Tb  0.5553  0.6181  0.3865  0.28
Tb  0.9447  0.8312  0.5629  0.28
Tb  0.7684  0.3312  0.8865  0.28
Tb  0.4447  0.3819  0.6135  0.28
Tb  0.0553  0.1688  0.4371  0.28
Tb  0.2316  0.6688  0.1135  0.28
Tb  0.1688  0.1135  0.7316  0.28
Tb  0.6181  0.0629  0.2316  0.28
Tb  0.8819  0.6135  0.9447  0.28
Tb  0.5629  0.3312  0.9447  0.28
Tb  0.6135  0.8819  0.4447  0.28
Tb  0.8865  0.8312  0.7684  0.28
Tb  0.8865  0.0553  0.6181  0.28
Tb  0.8819  0.2684  0.4371  0.28
Tb  0.1688  0.0553  0.9371  0.28
Tb  0.6181  0.5553  0.8865  0.28
Tb  0.4447  0.0629  0.3312  0.28
Tb  0.2684  0.3865  0.8312  0.28
Tb  0.2316  0.5629  0.6181  0.28
Tb  0.9447  0.1135  0.8819  0.28
Tb  0.6688  0.2316  0.6135  0.28
Tb  0.4371  0.7684  0.8819  0.28
Tb  0.0629  0.4447  0.8312  0.28
Tb  0.3865  0.2684  0.3312  0.28
Tb  0.0629  0.6181  0.7316  0.28
Tb  0.6688  0.4371  0.5553  0.28
Tb  0.2684  0.8819  0.9371  0.28

Here is a relaxed TbEuErTh crystal from Alexandria via LeMat-Bulk. Energies are from GGA-PBE.

The value obtained for the calculated density is 8.829 Mg/m³. The crystal system is cubic. The calculation puts the density of states at the Fermi level at 1.83 states/eV/atom. For the total energy, the calculation gives -26.088 eV for the cell shown. As for the volume: 133.6 Å³ per cell. As for the magnetization: 6.9 Bohr magnetons per cell.

Cell: 5.7378 5.7378 5.7378 Å, 60.00 60.00 60.00°
Last column: magnetic moment on the atom in μB.
Fractional coordinates of all 4 atoms:
Eu  0.5000  0.5000  0.5000  6.84
Tb  0.7500  0.7500  0.7500  -0.01
Th  0.0000  0.0000  0.0000  -0.09
Er  0.2500  0.2500  0.2500  -0.01

Here is a relaxed Al2AgMo crystal from Alexandria via LeMat-Bulk. Energies are from GGA-PBE.

The value obtained for the calculated density is 6.736 Mg/m³. The value obtained for the energy relative to the lowest polymorph listed for this composition is 4.6 kJ per mole of atoms. The crystal system is orthorhombic. The calculation puts the density of states at the Fermi level at 0.67 states/eV/atom. For the total energy, the calculation gives -21.404 eV for the cell shown. As for the volume: 63.5 Å³ per cell. As for the magnetization: 0.0 Bohr magnetons per cell.

Cell: 2.9118 3.5861 6.0854 Å, 90.00 90.00 90.00°
Fractional coordinates of all 4 atoms:
Mo  0.5000  0.5000  0.2500
Al  0.0000  0.0000  0.0187
Al  0.0000  0.0000  0.4813
Ag  0.5000  0.5000  0.7500

Which of these has the highest calculated density? BeSbOs2